# PBE CePr14Sc, optimized geometry
# Density of states at the Fermi level (states/eV/cell): 28.92
# Magnetization (μB per cell): 1.3
# Formation energy from the elements (kJ/mol of formula units): 60
# Space-group type: P4/mmm (123)
data_CePr14Sc
_cell_length_a 7.339
_cell_length_b 7.339
_cell_length_c 10.422
_cell_angle_alpha 90.00
_cell_angle_beta 90.00
_cell_angle_gamma 90.00
_symmetry_space_group_name_H-M 'P 1'
_symmetry_Int_Tables_number 1
loop_
_symmetry_equiv_pos_as_xyz
'x,y,z'
loop_
_atom_site_label
_atom_site_type_symbol
_atom_site_fract_x
_atom_site_fract_y
_atom_site_fract_z
Ce1 Ce 0.000 0.000 0.000
Pr1 Pr 0.000 0.000 0.500
Pr2 Pr 0.000 0.500 0.000
Pr3 Pr 0.000 0.500 0.500
Pr4 Pr 0.252 0.252 0.243
Pr5 Pr 0.252 0.252 0.757
Pr6 Pr 0.252 0.748 0.243
Pr7 Pr 0.252 0.748 0.757
Pr8 Pr 0.500 0.000 0.000
Pr9 Pr 0.500 0.000 0.500
Pr10 Pr 0.500 0.500 0.500
Pr11 Pr 0.748 0.252 0.243
Pr12 Pr 0.748 0.252 0.757
Pr13 Pr 0.748 0.748 0.243
Pr14 Pr 0.748 0.748 0.757
Sc1 Sc 0.500 0.500 0.000